1.
The following is a PBE-GGA calculation of a geometry-optimized Li2ZnSnMo structure, from Alexandria.

a = 4.445 Å, b = 5.073 Å, c = 4.445 Å
α = 90.00°, β = 90.00°, γ = 90.00°
Last column: magnetic moment on the atom in μB.
Fractional positions:
1 Li 0.500 0.000 0.000  -0.02
2 Zn 0.000 0.000 0.000  -0.04
3 Li 0.000 0.000 0.500  -0.03
4 Sn 0.000 0.500 0.000  -0.09
5 Mo 0.500 0.500 0.500  2.75

Properties
As for the density of states at the Fermi level: 0.595 states/eV/atom. The formation energy comes out at 0.7537 eV/atom.

***

2.
The following is a PBE-GGA calculation of a geometry-optimized ScBrCl3 structure, from Alexandria.

a = 5.045 Å, b = 5.045 Å, c = 5.045 Å
α = 90.00°, β = 90.00°, γ = 90.00°
Last column: magnetic moment on the atom in μB.
Fractional positions:
1 Cl 0.000 0.000 0.500  0.08
2 Br 0.500 0.500 0.500  0.60
3 Cl 0.500 0.000 0.000  0.04
4 Cl 0.000 0.500 0.000  0.03
5 Sc 0.000 0.000 0.000  0.00

Properties
As for the density of states at the Fermi level: 2.294 states/eV/atom. Its energy above the most stable polymorph in this dataset is 0 meV/atom. Its uncorrected formation energy is -1.294 eV/atom.

***

3.
The following is a PBE-GGA calculation of a geometry-optimized Ce3HfS6 structure, from Alexandria.

a = 7.966 Å, b = 7.966 Å, c = 7.966 Å
α = 98.19°, β = 98.19°, γ = 98.19°
Last column: magnetic moment on the atom in μB.
Fractional positions:
1 Ce 0.116 0.624 0.296  0.81
2 S 0.686 0.935 0.033  -0.02
3 S 0.567 0.194 0.428  -0.02
4 Ce 0.296 0.116 0.624  0.81
5 Ce 0.704 0.884 0.376  0.81
6 S 0.935 0.033 0.686  -0.02
7 S 0.194 0.428 0.567  -0.02
8 Ce 0.376 0.704 0.884  0.81
9 Ce 0.884 0.376 0.704  0.81
10 Hf 0.500 0.500 0.500  0.08
11 S 0.428 0.567 0.194  -0.02
12 S 0.806 0.572 0.433  -0.02
13 S 0.572 0.433 0.806  -0.02
14 S 0.433 0.806 0.572  -0.02
15 S 0.065 0.967 0.314  -0.02
16 S 0.314 0.065 0.967  -0.02
17 Ce 0.624 0.296 0.116  0.81
18 Hf 0.000 0.000 0.000  0.04
19 S 0.033 0.686 0.935  -0.02
20 S 0.967 0.314 0.065  -0.02

Properties
As for the density of states at the Fermi level: 1.976 states/eV/atom. Its uncorrected formation energy is -1.862 eV/atom.

***

4.
The following is a PBE-GGA calculation of a geometry-optimized Be2Fe4Ru structure, from Alexandria.

a = 4.378 Å, b = 4.378 Å, c = 6.474 Å
α = 70.24°, β = 70.24°, γ = 90.00°
Last column: magnetic moment on the atom in μB.
Fractional positions:
1 Fe 0.000 0.500 0.000  1.82
2 Fe 0.209 0.209 0.582  -2.95
3 Fe 0.791 0.791 0.418  -2.95
4 Fe 0.500 0.000 0.000  1.82
5 Be 0.409 0.409 0.183  -0.01
6 Ru 0.000 0.000 0.000  -0.11
7 Be 0.591 0.591 0.817  -0.01

Properties
As for the density of states at the Fermi level: 1.373 states/eV/atom. The formation energy comes out at 1.2979 eV/atom.

***

5.
The following is a PBE-GGA calculation of a geometry-optimized TbCeGd2 structure, from Alexandria.

a = 5.689 Å, b = 5.689 Å, c = 5.689 Å
α = 60.00°, β = 60.00°, γ = 60.00°
Last column: magnetic moment on the atom in μB.
Fractional positions:
1 Tb 0.000 0.000 0.000  0.28
2 Gd 0.750 0.750 0.750  7.36
3 Gd 0.250 0.250 0.250  7.36
4 Ce 0.500 0.500 0.500  1.12

Properties
As for the density of states at the Fermi level: 2.368 states/eV/atom. Its energy above the most stable polymorph in this dataset is 90 meV/atom. The formation energy comes out at 0.1533 eV/atom.

***

6.
The following is a PBE-GGA calculation of a geometry-optimized Ce3Pm5H12 structure, from Alexandria.

a = 11.685 Å, b = 11.685 Å, c = 11.685 Å
α = 109.47°, β = 109.47°, γ = 109.47°
Last column: magnetic moment on the atom in μB.
Fractional positions:
1 H 0.842 0.918 0.070  0.00
2 Pm 0.625 0.875 0.250  0.09
3 H 0.918 0.842 0.570  0.00
4 Ce 0.625 0.250 0.375  0.63
5 H 0.272 0.423 0.842  0.00
6 H 0.577 0.728 0.658  0.00
7 H 0.158 0.077 0.728  0.00
8 Pm 0.125 0.750 0.375  0.09
9 H 0.658 0.228 0.577  0.00
10 Pm 0.500 0.500 0.500  0.00
11 H 0.228 0.658 0.077  0.00
12 Ce 0.125 0.250 0.875  0.63
13 H 0.923 0.082 0.652  0.00
14 Ce 0.125 0.875 0.750  0.63
15 H 0.570 0.228 0.152  0.00
16 H 0.342 0.570 0.418  0.00
17 Pm 0.875 0.625 0.750  0.09
18 Pm 0.750 0.125 0.875  0.09
19 H 0.930 0.582 0.158  0.00
20 Pm 0.375 0.125 0.750  0.09
21 H 0.430 0.772 0.848  0.00
22 Ce 0.250 0.125 0.375  0.63
23 Pm 0.750 0.625 0.375  0.09
24 Ce 0.375 0.625 0.250  0.63
25 Pm 0.375 0.250 0.125  0.09
26 H 0.348 0.930 0.772  0.00
27 Pm 0.000 0.500 0.500  0.00
28 Pm 0.000 0.000 0.000  0.00
29 H 0.152 0.728 0.570  0.00
30 Pm 0.625 0.750 0.875  0.09
31 H 0.070 0.652 0.728  0.00
32 Ce 0.750 0.875 0.625  0.63
33 Ce 0.875 0.750 0.125  0.63
34 H 0.342 0.772 0.423  0.00
35 Pm 0.250 0.375 0.625  0.09
36 H 0.582 0.930 0.658  0.00
37 Pm 0.875 0.250 0.625  0.09
38 Pm 0.125 0.375 0.250  0.09
39 H 0.848 0.272 0.430  0.00
40 H 0.423 0.152 0.582  0.00
41 H 0.842 0.923 0.272  0.00
42 H 0.848 0.577 0.918  0.00
43 H 0.077 0.158 0.228  0.00
44 H 0.923 0.842 0.772  0.00
45 H 0.082 0.158 0.430  0.00
46 H 0.228 0.570 0.652  0.00
47 H 0.652 0.070 0.228  0.00
48 Ce 0.625 0.375 0.750  0.63
49 H 0.348 0.418 0.077  0.00
50 H 0.728 0.577 0.158  0.00
51 Ce 0.250 0.625 0.875  0.63
52 H 0.582 0.652 0.423  0.00
53 H 0.577 0.848 0.418  0.00
54 Pm 0.000 0.000 0.500  0.00
55 Pm 0.500 0.000 0.500  0.00
56 H 0.418 0.348 0.577  0.00
57 H 0.430 0.658 0.082  0.00
58 H 0.418 0.070 0.342  0.00
59 H 0.077 0.918 0.348  0.00
60 H 0.070 0.418 0.842  0.00
61 Pm 0.000 0.500 0.000  0.00
62 H 0.158 0.082 0.930  0.00
63 H 0.570 0.342 0.918  0.00
64 Pm 0.250 0.875 0.125  0.09
65 H 0.082 0.923 0.152  0.00
66 H 0.930 0.348 0.272  0.00
67 Ce 0.875 0.125 0.250  0.63
68 H 0.728 0.152 0.070  0.00
69 H 0.152 0.423 0.082  0.00
70 Ce 0.375 0.750 0.625  0.63
71 H 0.772 0.430 0.348  0.00
72 Pm 0.500 0.000 0.000  0.00
73 H 0.658 0.430 0.582  0.00
74 H 0.918 0.077 0.848  0.00
75 H 0.423 0.272 0.342  0.00
76 H 0.272 0.848 0.930  0.00
77 Pm 0.500 0.500 0.000  0.00
78 H 0.772 0.342 0.923  0.00
79 H 0.652 0.582 0.923  0.00
80 Ce 0.750 0.375 0.125  0.63

Properties
As for the density of states at the Fermi level: 1.256 states/eV/atom. The calculation puts the final energy at -4.5023 eV per atom.

***

7.
The following is a PBE-GGA calculation of a geometry-optimized TlRu2Pt structure, from Alexandria.

a = 2.869 Å, b = 3.811 Å, c = 6.053 Å
α = 90.00°, β = 90.00°, γ = 90.00°
Fractional positions:
1 Ru 0.000 0.000 0.970
2 Ru 0.000 0.000 0.530
3 Tl 0.500 0.500 0.250
4 Pt 0.500 0.500 0.750

Properties
As for the density of states at the Fermi level: 1.128 states/eV/atom. Its energy above the most stable polymorph in this dataset is 183 meV/atom. The formation energy comes out at 0.4428 eV/atom.

***

8.
The following is a PBE-GGA calculation of a geometry-optimized FeNi4Pd2 structure, from Alexandria.

a = 2.618 Å, b = 6.130 Å, c = 11.858 Å
α = 90.00°, β = 90.00°, γ = 102.33°
Last column: magnetic moment on the atom in μB.
Fractional positions:
1 Ni 0.028 0.056 0.750  0.79
2 Ni 0.835 0.670 0.420  0.75
3 Ni 0.165 0.330 0.920  0.75
4 Ni 0.835 0.670 0.080  0.75
5 Fe 0.312 0.625 0.250  2.82
6 Pd 0.142 0.284 0.371  0.24
7 Ni 0.972 0.944 0.250  0.79
8 Ni 0.500 0.000 0.500  0.71
9 Ni 0.165 0.330 0.580  0.75
10 Fe 0.688 0.375 0.750  2.82
11 Pd 0.858 0.716 0.871  0.24
12 Ni 0.500 0.000 0.000  0.71
13 Pd 0.858 0.716 0.629  0.24
14 Pd 0.142 0.284 0.129  0.24

Properties
As for the density of states at the Fermi level: 1.084 states/eV/atom. Its energy above the most stable polymorph in this dataset is 0 meV/atom. The formation energy comes out at 0.2165 eV/atom.

***

9.
The following is a PBE-GGA calculation of a geometry-optimized TbErS2O structure, from Alexandria.

a = 3.856 Å, b = 3.856 Å, c = 13.824 Å
α = 90.00°, β = 90.00°, γ = 90.00°
Fractional positions:
1 O 0.500 0.500 0.500
2 S 0.000 0.500 0.090
3 O 0.000 0.000 0.500
4 Er 0.000 0.500 0.876
5 Tb 0.500 0.000 0.584
6 Tb 0.000 0.500 0.416
7 Er 0.500 0.000 0.124
8 S 0.500 0.000 0.304
9 S 0.500 0.000 0.910
10 S 0.000 0.500 0.696

Properties
As for the density of states at the Fermi level: 0.166 states/eV/atom. Its uncorrected formation energy is -2.538 eV/atom.

***

10.
The following is a PBE-GGA calculation of a geometry-optimized Li2PmY structure, from Alexandria.

a = 5.323 Å, b = 5.323 Å, c = 5.323 Å
α = 60.00°, β = 60.00°, γ = 60.00°
Fractional positions:
1 Y 0.500 0.500 0.500
2 Li 0.750 0.750 0.750
3 Li 0.250 0.250 0.250
4 Pm 0.000 0.000 0.000

Properties
As for the density of states at the Fermi level: 1.304 states/eV/atom. Its energy above the most stable polymorph in this dataset is 5 meV/atom. The formation energy comes out at 0.1429 eV/atom.

***

11.
The following is a PBE-GGA calculation of a geometry-optimized LaTmTh14 structure, from Alexandria.

a = 7.181 Å, b = 7.181 Å, c = 11.613 Å
α = 90.00°, β = 90.00°, γ = 120.06°
Fractional positions:
1 Th 0.208 0.792 0.000
2 Tm 0.041 0.959 0.500
3 Th 0.875 0.125 0.251
4 Th 0.208 0.291 0.000
5 Th 0.875 0.125 0.749
6 Th 0.374 0.124 0.249
7 Th 0.709 0.792 0.000
8 La 0.540 0.460 0.500
9 Th 0.047 0.460 0.500
10 Th 0.374 0.626 0.752
11 Th 0.876 0.626 0.751
12 Th 0.708 0.292 0.000
13 Th 0.374 0.626 0.248
14 Th 0.374 0.124 0.751
15 Th 0.540 0.953 0.500
16 Th 0.876 0.626 0.249

Properties
As for the density of states at the Fermi level: 1.287 states/eV/atom. The formation energy comes out at 0.0365 eV/atom.

***

12.
The following is a PBE-GGA calculation of a geometry-optimized Ti5Mn4W structure, from Alexandria.

a = 2.997 Å, b = 2.997 Å, c = 15.459 Å
α = 90.00°, β = 90.00°, γ = 90.00°
Last column: magnetic moment on the atom in μB.
Fractional positions:
1 W 0.000 0.000 0.000  -0.05
2 Mn 0.000 0.000 0.596  1.07
3 Mn 0.000 0.000 0.209  0.54
4 Ti 0.500 0.500 0.883  -0.10
5 Ti 0.500 0.500 0.500  -0.35
6 Mn 0.000 0.000 0.791  0.54
7 Ti 0.500 0.500 0.307  -0.27
8 Mn 0.000 0.000 0.404  1.07
9 Ti 0.500 0.500 0.693  -0.27
10 Ti 0.500 0.500 0.117  -0.10

Properties
As for the density of states at the Fermi level: 1.237 states/eV/atom. The formation energy comes out at -0.1674 eV/atom.

***

13.
The following is a PBE-GGA calculation of a geometry-optimized ZnNi3Pt4 structure, from Alexandria.

a = 4.536 Å, b = 5.527 Å, c = 8.781 Å
α = 90.00°, β = 90.00°, γ = 90.00°
Last column: magnetic moment on the atom in μB.
Fractional positions:
1 Pt 0.500 0.752 0.500  0.22
2 Zn 0.000 0.500 0.000  -0.01
3 Pt 0.500 0.752 0.000  0.22
4 Ni 0.635 0.000 0.750  0.62
5 Ni 0.000 0.000 0.000  0.69
6 Pt 0.500 0.248 0.500  0.22
7 Zn 0.000 0.500 0.500  -0.01
8 Ni 0.365 0.000 0.250  0.62
9 Pt 0.127 0.245 0.750  0.19
10 Pt 0.127 0.755 0.750  0.19
11 Ni 0.626 0.500 0.750  0.66
12 Pt 0.873 0.245 0.250  0.19
13 Ni 0.374 0.500 0.250  0.66
14 Pt 0.873 0.755 0.250  0.19
15 Ni 0.000 0.000 0.500  0.69
16 Pt 0.500 0.248 0.000  0.22

Properties
As for the density of states at the Fermi level: 1.363 states/eV/atom. Its energy above the most stable polymorph in this dataset is 24 meV/atom. The formation energy comes out at -0.1848 eV/atom.

***

14.
The following is a PBE-GGA calculation of a geometry-optimized KNaPCl2 structure, from Alexandria.

a = 5.258 Å, b = 5.936 Å, c = 5.258 Å
α = 90.00°, β = 90.00°, γ = 90.00°
Last column: magnetic moment on the atom in μB.
Fractional positions:
1 Cl 0.500 0.000 0.000  0.07
2 P 0.500 0.500 0.500  1.16
3 Cl 0.000 0.000 0.500  0.09
4 K 0.000 0.500 0.000  0.01
5 Na 0.000 0.000 0.000  0.00

Properties
As for the density of states at the Fermi level: 0.000 states/eV/atom. Its energy above the most stable polymorph in this dataset is 208 meV/atom. Its uncorrected formation energy is -0.383 eV/atom.

***

15.
The following is a PBE-GGA calculation of a geometry-optimized CoMo3 structure, from Alexandria.

a = 5.504 Å, b = 5.504 Å, c = 8.874 Å
α = 90.00°, β = 90.00°, γ = 120.00°
Last column: magnetic moment on the atom in μB.
Fractional positions:
1 Mo 0.500 0.000 0.500  0.00
2 Mo 0.500 0.500 0.500  0.00
3 Co 0.000 0.000 0.500  0.06
4 Mo 0.331 0.166 0.250  0.00
5 Mo 0.834 0.166 0.250  0.00
6 Co 0.667 0.333 0.750  -0.01
7 Mo 0.166 0.331 0.750  0.00
8 Mo 0.000 0.500 0.500  0.00
9 Co 0.000 0.000 0.000  0.06
10 Co 0.333 0.667 0.250  -0.01
11 Mo 0.500 0.000 0.000  0.00
12 Mo 0.166 0.834 0.750  0.00
13 Mo 0.500 0.500 0.000  0.00
14 Mo 0.000 0.500 0.000  0.00
15 Mo 0.669 0.834 0.750  0.00
16 Mo 0.834 0.669 0.250  0.00

Properties
As for the density of states at the Fermi level: 1.498 states/eV/atom. The formation energy comes out at 0.2107 eV/atom.

***

16.
The following is a PBE-GGA calculation of a geometry-optimized CoMo2Au structure, from Alexandria.

a = 4.765 Å, b = 4.765 Å, c = 4.765 Å
α = 131.01°, β = 130.96°, γ = 71.84°
Last column: magnetic moment on the atom in μB.
Fractional positions:
1 Mo 0.250 0.750 0.500  0.33
2 Co 0.750 0.250 0.500  1.38
3 Mo 0.000 0.000 0.000  0.01
4 Au 0.500 0.500 0.000  0.05

Properties
As for the density of states at the Fermi level: 0.903 states/eV/atom. Its energy above the most stable polymorph in this dataset is 123 meV/atom. The formation energy comes out at 0.2761 eV/atom.

***

17.
The following is a PBE-GGA calculation of a geometry-optimized KSc3Al structure, from Alexandria.

a = 4.905 Å, b = 4.905 Å, c = 4.905 Å
α = 90.00°, β = 90.00°, γ = 90.00°
Fractional positions:
1 Sc 0.000 0.000 0.500
2 Sc 0.500 0.000 0.000
3 K 0.000 0.000 0.000
4 Sc 0.000 0.500 0.000
5 Al 0.500 0.500 0.500

Properties
As for the density of states at the Fermi level: 0.922 states/eV/atom. Its energy above the most stable polymorph in this dataset is 847 meV/atom. The formation energy comes out at 1.3443 eV/atom.

***

18.
The following is a PBE-GGA calculation of a geometry-optimized Nd2Sm3Tm6 structure, from Alexandria.

a = 6.116 Å, b = 6.122 Å, c = 11.618 Å
α = 84.96°, β = 79.88°, γ = 60.03°
Fractional positions:
1 Nd 0.833 0.333 0.500
2 Tm 0.416 0.667 0.751
3 Tm 0.083 0.333 0.751
4 Tm 0.749 0.000 0.751
5 Tm 0.917 0.667 0.249
6 Sm 0.664 0.671 0.000
7 Sm 0.336 0.329 0.000
8 Tm 0.251 0.000 0.249
9 Nd 0.167 0.667 0.500
10 Tm 0.584 0.333 0.249
11 Sm 0.000 0.000 0.000

Properties
As for the density of states at the Fermi level: 1.411 states/eV/atom. Its energy above the most stable polymorph in this dataset is 0 meV/atom. The formation energy comes out at 0.1874 eV/atom.

***

19.
The following is a PBE-GGA calculation of a geometry-optimized Ac2Pm3Ho6 structure, from Alexandria.

a = 6.237 Å, b = 6.242 Å, c = 11.980 Å
α = 85.03°, β = 80.00°, γ = 60.03°
Fractional positions:
1 Ho 0.918 0.668 0.242
2 Ho 0.746 0.000 0.758
3 Ho 0.254 0.000 0.242
4 Ho 0.414 0.668 0.758
5 Ac 0.833 0.334 0.500
6 Ho 0.586 0.332 0.242
7 Ho 0.082 0.332 0.758
8 Ac 0.167 0.666 0.500
9 Pm 0.665 0.671 0.000
10 Pm 0.000 0.000 0.000
11 Pm 0.335 0.329 0.000

Properties
As for the density of states at the Fermi level: 1.367 states/eV/atom. The formation energy comes out at 0.1867 eV/atom.

***

20.
The following is a PBE-GGA calculation of a geometry-optimized YPt2W2 structure, from Alexandria.

a = 8.006 Å, b = 8.006 Å, c = 2.789 Å
α = 90.00°, β = 90.00°, γ = 90.00°
Fractional positions:
1 Y 0.000 0.000 0.000
2 Pt 0.123 0.377 0.000
3 W 0.326 0.174 0.500
4 Y 0.500 0.500 0.000
5 Pt 0.377 0.877 0.000
6 Pt 0.623 0.123 0.000
7 W 0.174 0.674 0.500
8 Pt 0.877 0.623 0.000
9 W 0.826 0.326 0.500
10 W 0.674 0.826 0.500

Properties
As for the density of states at the Fermi level: 0.626 states/eV/atom. Its energy above the most stable polymorph in this dataset is 181 meV/atom. The formation energy comes out at -0.0610 eV/atom.

***

no.,size of the total moment (μB per cell)
1,2.98
2,1.00
3,5.35
4,2.43
5,17.40
6,11.54
7,0.00
8,12.31
9,0.00
10,0.00
11,0.00
12,2.02
13,5.38
14,3.00
15,0.11
16,1.77
17,0.00
18,0.00
19,0.00
20,0.00